Here is Er3UN4 after structural relaxation from OQMD via LeMat-Bulk. Energies are from PBE.

Cell and atoms, written as POSCAR:
```
Er3UN4
1.0
3.4261 -4.8032 0.0000
3.4261 4.8032 0.0000
0.0000 0.0000 3.4107
Er N U
3 4 1
direct
0.5000 0.0000 0.0000
0.0000 0.5000 0.0000
0.5000 0.5000 0.5000
0.2440 0.2440 0.0000
0.7560 0.7560 0.0000
0.7600 0.2400 0.5000
0.2400 0.7600 0.5000
0.0000 0.0000 0.5000
```

Results
E ... -8.950 eV/atom
Space group ... Cmmm, No. 65

***

Here is ErUN3 after structural relaxation from OQMD via LeMat-Bulk. Energies are from PBE.

Cell and atoms, written as POSCAR:
```
ErUN3
1.0
-3.0105 1.0680 4.8788
2.8083 4.3095 -2.7472
-4.7862 -2.3649 -2.3465
Er N U
2 6 2
direct
0.7181 0.4681 0.2500
0.2819 0.5319 0.7500
0.6732 0.0000 0.1732
0.1166 0.8666 0.2500
0.3268 0.5000 0.3268
0.6732 0.5000 0.6732
0.8834 0.1334 0.7500
0.3268 0.0000 0.8268
0.0000 0.0000 0.0000
0.5000 0.0000 0.5000
```

Results
E ... -9.585 eV/atom
Space group ... Imma, No. 74